# 1
5
Lattice="4.749 0.000 0.000 0.000 4.749 0.000 0.000 0.000 4.749" Properties=species:S:1:pos:R:3 comment="BeNbIn3, relaxed, DFT GGA-PBE" total_magnetization_mub_per_fu=0.00 total_energy_ev_per_atom=-3.55 pbc="T T T"
In 0.000 2.374 0.000
Nb 2.374 2.374 2.374
Be 0.000 0.000 0.000
In 0.000 0.000 2.374
In 2.374 0.000 0.000


# 2
8
Lattice="6.685 0.000 0.000 0.000 6.685 0.000 3.343 3.343 2.791" Properties=species:S:1:pos:R:3 comment="Be2NbIn, relaxed, DFT GGA-PBE" total_magnetization_mub_per_fu=0.00 total_energy_ev_per_atom=-4.51 pbc="T T T"
In 0.000 0.000 0.000
Be 5.014 4.979 2.093
In 6.685 3.343 1.396
Be 5.048 1.671 0.698
Nb 3.343 3.343 0.000
Be 8.356 8.391 2.093
Nb 3.343 6.685 1.396
Be 1.637 5.014 0.698


# 3
8
Lattice="7.392 0.000 0.000 0.000 7.392 0.000 3.696 3.696 2.750" Properties=species:S:1:pos:R:3 comment="BeNbIn2, relaxed, DFT GGA-PBE" total_magnetization_mub_per_fu=0.00 total_energy_ev_per_atom=-4.38 pbc="T T T"
Nb 0.000 0.000 0.000
Be 3.696 7.392 1.375
In 5.147 1.848 0.688
In 5.544 5.942 2.063
Nb 7.392 3.696 1.375
In 9.240 8.843 2.063
In 2.245 5.544 0.688
Be 3.696 3.696 0.000


# 4
4
Lattice="4.264 -0.490 1.621 1.831 3.258 2.662 0.679 -0.800 4.466" Properties=species:S:1:pos:R:3 comment="BeNb2In, relaxed, DFT GGA-PBE" total_magnetization_mub_per_fu=0.00 total_energy_ev_per_atom=-6.29 pbc="T T T"
Nb 5.080 1.476 6.562
Be 0.000 0.000 0.000
In 3.387 0.984 4.374
Nb 1.693 0.492 2.187